Material: Sc2AlCrN
Method: DFT, PBE
State: optimized geometry

Computed properties:
ρ = 4.03 Mg/m³
VASP energy = -7.666 eV/atom
Fermi-level density of states = 2.21 states/eV/f.u.
Formation energy from raw total energies = -0.796 eV/atom

Geometry as POSCAR:
```
Sc2AlCrN
1.0
4.480 0.000 0.000
0.000 4.480 0.000
0.000 0.000 3.756
Sc Al Cr N
2 1 1 1
Direct
0.000 0.500 0.000
0.500 0.000 0.000
0.000 0.000 0.500
0.500 0.500 0.500
0.500 0.500 0.000
```

---

Material: AlCrSe2N
Method: DFT, PBE
State: optimized geometry

Computed properties:
ρ = 4.55 Mg/m³
VASP energy = -5.435 eV/atom
Fermi-level density of states = 2.05 states/eV/f.u.
Formation energy from raw total energies = 0.297 eV/atom

Geometry as POSCAR:
```
AlCrSe2N
1.0
5.046 0.000 0.000
0.000 5.046 0.000
0.000 0.000 3.594
Al Cr Se N
1 1 2 1
Direct
0.000 0.000 0.000
0.500 0.500 0.500
0.000 0.500 0.000
0.500 0.000 0.000
0.000 0.000 0.500
```

---

Material: AlCrSe2N
Method: DFT, PBE
State: optimized geometry

Computed properties:
ρ = 4.86 Mg/m³
VASP energy = -5.636 eV/atom
Fermi-level density of states = 2.72 states/eV/f.u.
Formation energy from raw total energies = 0.097 eV/atom

Geometry as POSCAR:
```
AlCrSe2N
1.0
4.937 0.000 0.000
0.000 4.937 0.000
0.000 0.000 3.515
Al Cr Se N
1 1 2 1
Direct
0.000 0.000 0.000
0.500 0.500 0.500
0.000 0.500 0.500
0.500 0.000 0.500
0.500 0.500 0.000
```